(1)
The following is a PBE-GGA calculation of a relaxed structure of ScRuRh, from Alexandria.

```
ScRuRh
1.0
-0.762 -4.861 -0.454
2.383 -3.321 2.775
-2.864 4.026 0.044
Rh Sc Ru
1 1 1
Cartesian
0.007 -0.035 0.010
0.540 -2.728 0.774
1.073 -5.419 1.538
```

Calculated values
As for the raw total energy: -7.890 eV per atom. The calculation puts the excess energy over the best structure of this formula in the dataset at 0.1335 eV/atom. Its energy relative to the elements is -0.2370 eV/atom. The spin magnetization is 0.00 μB/cell.

(2)
The following is a PBE-GGA calculation of a relaxed structure of ZrTa2Tc, from Alexandria.

```
ZrTa2Tc
1.0
-4.770 -1.566 -2.385
0.058 -1.325 -5.398
2.038 -1.139 5.044
Zr Tc Ta
1 1 2
Cartesian
-0.130 -1.955 -2.122
-2.544 -2.075 -0.616
-4.633 -2.843 -7.652
-2.435 -1.494 -4.022
```

Calculated values
As for the raw total energy: -10.867 eV per atom. The calculation puts the excess energy over the best structure of this formula in the dataset at 0.0000 eV/atom. Its energy relative to the elements is -0.2122 eV/atom. The spin magnetization is 0.00 μB/cell.

(3)
The following is a PBE-GGA calculation of a relaxed structure of Be3MoAu, from Alexandria.

```
Be3MoAu
1.0
4.234 0.000 0.000
0.000 4.234 0.000
0.000 0.000 4.234
Au Mo Be
1 1 3
Cartesian
2.117 2.117 2.117
0.000 0.000 0.000
0.000 2.117 0.000
2.117 0.000 0.000
0.000 0.000 2.117
```

Calculated values
As for the raw total energy: -3.737 eV per atom. The calculation puts the excess energy over the best structure of this formula in the dataset at 0.4052 eV/atom. Its energy relative to the elements is 1.3200 eV/atom. The spin magnetization is 0.00 μB/cell.

(4)
The following is a PBE-GGA calculation of a relaxed structure of N, from Alexandria.

```
N
1.0
2.573 0.000 0.000
-1.287 2.228 0.000
0.000 0.000 2.451
N
2
Cartesian
1.287 0.743 1.838
0.000 1.486 0.613
```

Calculated values
As for the raw total energy: -4.722 eV per atom. The calculation puts the excess energy over the best structure of this formula in the dataset at 3.6035 eV/atom. Its uncorrected formation energy is 3604 meV per atom. The spin magnetization is 0.00 μB/cell.